Record 1
## Tb2AlGe6 (GGA-PBEsol)

Data for a relaxed structure of Tb2AlGe6.

Output
energy of formation from the pure elements = -4.21 eV per formula unit
Fermi-level density of states = 11.3 states/eV per cell
total energy = -5.329 eV per atom

Cell lengths 8.2638, 8.4749, 10.3712 Å; angles 90.00, 102.14, 90.00 degrees
Space group C2/m (No. 12)
One atom of each set of equivalent atoms:
Tb  0.0904  0.2473  0.3384 x8
Al  0.1970  0.0000  0.7992 x4
Ge  0.0068  0.5000  0.8810 x4
Ge  0.0704  0.0000  0.1188 x4
Ge  0.1337  0.5000  0.5926 x4
Ge  0.1488  0.0000  0.5562 x4
Ge  0.2172  0.2859  0.8810 x8

=====

Record 2
## Zn3CF (GGA-PBEsol)

Data for a relaxed structure of Zn3CF.

Output
Fermi-level density of states = 1.5 states/eV per cell
energy relative to the elements, uncorrected = 0.98 eV per atom
total energy = -2.287 eV per atom

Cell lengths 4.1296, 4.1296, 4.1296 Å; angles 90.00, 90.00, 90.00 degrees
Space group Pm-3m (No. 221)
One atom of each set of equivalent atoms:
Zn  0.0000  0.0000  0.5000 x3
C  0.5000  0.5000  0.5000 x1
F  0.0000  0.0000  0.0000 x1

=====

Record 3
## AgAuBr4 (GGA-PBEsol)

Data for a relaxed structure of AgAuBr4.

Output
Fermi-level density of states = 12.1 states/eV per cell
energy relative to the elements, uncorrected = 0.84 eV per atom
total energy = -1.614 eV per atom

Cell lengths 8.4442, 8.4442, 8.4442 Å; angles 90.00, 90.00, 90.00 degrees
Space group F-43m (No. 216)
One atom of each set of equivalent atoms:
Ag  0.0000  0.0000  0.0000 x4
Au  0.2500  0.2500  0.7500 x4
Br  0.1241  0.1241  0.3759 x16

=====

Record 4
## LiTcP2 (GGA-PBEsol)

Data for a relaxed structure of LiTcP2.

Output
energy of formation from the pure elements = -0.64 eV per formula unit
Fermi-level density of states = 2.1 states/eV per cell
total energy = -6.363 eV per atom

Cell lengths 4.0674, 4.0674, 3.0146 Å; angles 90.00, 90.00, 90.00 degrees
Space group P4/mmm (No. 123)
One atom of each set of equivalent atoms:
Li  0.0000  0.0000  0.0000 x1
Tc  0.5000  0.5000  0.0000 x1
P  0.0000  0.5000  0.5000 x2

=====

Fermi-level density of states of number 4 (LiTcP2)?
2.1 states/eV per cell